A geometry-optimized AcCe2TmBi4 structure, computed with PBE-GGA.

```
AcCe2TmBi4
1.0
8.033 0.000 0.000
0.000 4.641 0.000
-2.676 0.000 7.579
Ac Ce Tm Bi
1 2 1 4
Direct
0.000 0.000 0.000 Ac
0.500 0.000 0.500 Ce
0.500 0.500 0.000 Ce
0.000 0.500 0.500 Tm
0.248 0.000 0.737 Bi
0.258 0.500 0.266 Bi
0.742 0.500 0.734 Bi
0.752 0.000 0.263 Bi
```

Properties
Spin magnetization in Bohr magnetons per cell: 1.73
Crystal system: monoclinic
Space-group type: P2/m, No. 10
Raw total energy in eV for the cell shown: -42.48



A geometry-optimized CaPm2Cd6 structure, computed with PBE-GGA.

```
CaPm2Cd6
1.0
8.742 0.000 0.000
-4.371 7.571 0.000
0.000 0.000 3.505
Ca Pm Cd
1 2 6
Direct
0.000 0.000 0.000 Ca
0.333 0.667 0.000 Pm
0.667 0.333 0.000 Pm
0.000 0.333 0.500 Cd
0.000 0.667 0.500 Cd
0.333 0.000 0.500 Cd
0.333 0.333 0.500 Cd
0.667 0.000 0.500 Cd
0.667 0.667 0.500 Cd
```

Properties
Spin magnetization in Bohr magnetons per cell: 0.00
Crystal system: hexagonal
Space-group type: P6/mmm, No. 191
Raw total energy in eV for the cell shown: -20.05



A geometry-optimized Sc2NiSnC structure, computed with PBE-GGA.

```
Sc2NiSnC
1.0
5.317 0.000 0.000
0.000 5.317 0.000
0.000 0.000 4.546
Sc Ni Sn C
2 1 1 1
Direct
0.000 0.500 0.000 Sc
0.500 0.000 0.000 Sc
0.000 0.000 0.500 Ni
0.000 0.000 0.000 Sn
0.500 0.500 0.500 C
```

Properties
Spin magnetization in Bohr magnetons per cell: 1.62
Crystal system: tetragonal
Space-group type: P4/mmm, No. 123
Energy above the lowest structure with this stoichiometry in eV/f.u.: 10.276
Raw total energy in eV for the cell shown: -23.72



ΔH_f (0 K) values, unit eV/atom, following the record order: -0.8130 -0.3391 1.5910.